Record 1
The following is a DFT calculation (PBE-GGA) of La2TlRh after structural relaxation.

Cell lengths 4.1511, 4.1511, 8.7446 Å; angles 76.27, 76.27, 60.00 degrees
Closest atoms and distances in Å follow each position.
Atoms (fractional coordinates):
La  0.0643  0.0643  0.8072  3 Rh 2.89
La  0.2693  0.2693  0.1920  3 Rh 2.89
Tl  0.4997  0.4997  0.5009  6 La 3.52-3.53
Rh  0.6667  0.6667  0.9999  6 La 2.89

- space group = No. 160
- total energy (eV for the cell shown) = -21.72
- magnetization (μB per formula unit) = 0.00
- theoretical density (Mg/m³) = 7.74

Record 2
The following is a DFT calculation (PBE-GGA) of La2TlRh after structural relaxation.

Cell lengths 7.7014, 7.7424, 7.7180 Å; angles 90.00, 90.00, 90.00 degrees
Closest atoms and distances in Å follow each position.
Atoms (fractional coordinates):
La  0.8160  0.1765  0.8278  3 Rh 2.92-3.06
La  0.3160  0.8235  0.1722  3 Rh 2.92-3.06
La  0.3160  0.6765  0.6722  3 Rh 2.92-3.06
La  0.8160  0.3235  0.3278  3 Rh 2.92-3.06
La  0.3092  0.1765  0.8278  3 Rh 2.92-3.06
La  0.8092  0.8236  0.1722  3 Rh 2.92-3.06
La  0.8092  0.6764  0.6722  3 Rh 2.92-3.06
La  0.3092  0.3235  0.3278  3 Rh 2.92-3.06
Tl  0.0626  0.5019  0.9997  2 Rh 3.07, 4 La 3.42-3.43
Tl  0.5626  0.4982  0.0003  2 Rh 3.07, 4 La 3.42-3.43
Tl  0.5626  0.0018  0.5003  2 Rh 3.07, 4 La 3.42-3.43
Tl  0.0626  0.9981  0.4997  2 Rh 3.07, 4 La 3.42-3.43
Rh  0.0625  0.1239  0.1220  6 La 2.92-3.06, 2 Tl 3.07
Rh  0.5625  0.8761  0.8780  6 La 2.92-3.06, 2 Tl 3.07
Rh  0.5625  0.6239  0.3780  6 La 2.92-3.06, 2 Tl 3.07
Rh  0.0625  0.3761  0.6220  6 La 2.92-3.06, 2 Tl 3.07

- space group = No. 62
- total energy (eV for the cell shown) = -88.03
- magnetization (μB per formula unit) = 0.00
- theoretical density (Mg/m³) = 8.44